1.
Compound: CoPb2Br
Source: the Alexandria database
Functional: GGA-PBE
Structure: relaxed

a b c (Å): 6.713 6.713 6.713
angles (deg): 143.23 143.23 52.98
Sites, in units of the cell vectors:
Co: 0.000 0.000 0.000
Pb: 0.250 0.750 0.500
Pb: 0.500 0.500 0.000
Br: 0.750 0.250 0.500

Results
Its energy relative to the lowest polymorph listed for this composition is 416 meV/atom. The formation energy (no corrections) is 0.513 eV per atom.

2.
Compound: Ag2AsO5
Source: the Alexandria database
Functional: GGA-PBE
Structure: relaxed

a b c (Å): 5.788 5.788 9.824
angles (deg): 90.00 90.00 137.54
Sites, in units of the cell vectors:
Ag: 0.150 0.850 0.578
Ag: 0.150 0.850 0.922
Ag: 0.850 0.150 0.078
Ag: 0.850 0.150 0.422
As: 0.196 0.804 0.250
As: 0.804 0.196 0.750
O: 0.078 0.922 0.123
O: 0.078 0.922 0.377
O: 0.267 0.733 0.750
O: 0.319 0.681 0.114
O: 0.319 0.681 0.386
O: 0.681 0.319 0.614
O: 0.681 0.319 0.886
O: 0.733 0.267 0.250
O: 0.922 0.078 0.623
O: 0.922 0.078 0.877

Results
The formation energy (no corrections) is -0.383 eV per atom.

3.
Compound: Nd4ScGa2
Source: the Alexandria database
Functional: GGA-PBE
Structure: relaxed

a b c (Å): 6.846 7.826 8.948
angles (deg): 73.09 71.31 66.60
Sites, in units of the cell vectors:
Nd: 0.000 0.000 0.000
Nd: 0.008 0.511 0.313
Nd: 0.033 0.008 0.426
Nd: 0.377 0.727 0.747
Nd: 0.409 0.464 0.507
Nd: 0.563 0.976 0.348
Nd: 0.594 0.034 0.797
Nd: 0.987 0.487 0.906
Sc: 0.474 0.707 0.128
Sc: 0.493 0.337 0.017
Ga: 0.195 0.157 0.631
Ga: 0.732 0.322 0.215
Ga: 0.787 0.355 0.692
Ga: 0.855 0.697 0.599

Results
For the formation energy, the calculation gives -1.56 eV per formula unit.

4.
Compound: SmZrNbN3
Source: the Alexandria database
Functional: GGA-PBE
Structure: relaxed

a b c (Å): 5.707 3.305 8.508
angles (deg): 90.00 102.80 90.00
Sites, in units of the cell vectors:
Sm: 0.147 0.250 0.191
Sm: 0.853 0.750 0.809
Zr: 0.267 0.750 0.549
Zr: 0.733 0.250 0.451
Nb: 0.375 0.250 0.866
Nb: 0.625 0.750 0.134
N: 0.061 0.250 0.659
N: 0.250 0.750 0.989
N: 0.461 0.750 0.344
N: 0.539 0.250 0.656
N: 0.750 0.250 0.011
N: 0.939 0.750 0.341

Results
The formation energy (no corrections) is -1.437 eV per atom.

5.
Compound: BeAgBr2
Source: the Alexandria database
Functional: GGA-PBE
Structure: relaxed

a b c (Å): 3.713 3.713 11.002
angles (deg): 90.00 90.00 128.47
Sites, in units of the cell vectors:
Be: 0.000 0.000 0.000
Ag: 0.000 0.000 0.500
Br: 0.500 0.500 0.144
Br: 0.500 0.500 0.856

Results
Its energy relative to the lowest polymorph listed for this composition is 160 meV/atom. The formation energy (no corrections) is -0.134 eV per atom.

6.
Compound: KVSe4
Source: the Alexandria database
Functional: GGA-PBE
Structure: relaxed

a b c (Å): 8.425 8.425 5.565
angles (deg): 92.22 92.22 56.24
Sites, in units of the cell vectors:
K: 0.179 0.179 0.208
K: 0.821 0.821 0.792
V: 0.483 0.483 0.724
V: 0.517 0.517 0.276
Se: 0.200 0.590 0.395
Se: 0.249 0.751 0.000
Se: 0.313 0.313 0.721
Se: 0.410 0.800 0.605
Se: 0.590 0.200 0.395
Se: 0.687 0.687 0.279
Se: 0.751 0.249 0.000
Se: 0.800 0.410 0.605

Results
The formation energy (no corrections) is -0.572 eV per atom.

7.
Compound: Y3CBr
Source: the Alexandria database
Functional: GGA-PBE
Structure: relaxed

a b c (Å): 4.974 4.974 4.974
angles (deg): 90.00 90.00 90.00
Sites, in units of the cell vectors:
Y: 0.000 0.000 0.500
Y: 0.000 0.500 0.000
Y: 0.500 0.000 0.000
C: 0.000 0.000 0.000
Br: 0.500 0.500 0.500

Results
Its energy relative to the lowest polymorph listed for this composition is 0 meV/atom. The formation energy (no corrections) is -0.208 eV per atom.

8.
Compound: NbSbAs2
Source: the Alexandria database
Functional: GGA-PBE
Structure: relaxed

a b c (Å): 7.467 7.467 7.467
angles (deg): 130.97 130.97 71.87
Sites, in units of the cell vectors:
Nb: 0.000 0.000 0.000
Nb: 0.750 0.250 0.500
Sb: 0.250 0.750 0.500
Sb: 0.500 0.500 0.000
As: 0.088 0.625 0.964
As: 0.375 0.338 0.464
As: 0.662 0.125 0.036
As: 0.875 0.912 0.536

Results
The formation energy (no corrections) is 0.277 eV per atom.

9.
Compound: Ce4PaAl
Source: the Alexandria database
Functional: GGA-PBE
Structure: relaxed

a b c (Å): 5.317 5.317 6.750
angles (deg): 113.22 113.22 60.08
Sites, in units of the cell vectors:
Ce: 0.166 0.166 0.497
Ce: 0.330 0.330 0.987
Ce: 0.670 0.670 0.013
Ce: 0.834 0.834 0.503
Pa: 0.500 0.500 0.500
Al: 0.000 0.000 0.000

Results
For the formation energy, the calculation gives 0.69 eV per formula unit.

10.
Compound: CsZnTc
Source: the Alexandria database
Functional: GGA-PBE
Structure: relaxed

a b c (Å): 4.305 4.305 12.817
angles (deg): 83.86 84.65 60.00
Sites, in units of the cell vectors:
Cs: 0.119 0.094 0.303
Cs: 0.881 0.906 0.697
Zn: 0.484 0.477 0.099
Zn: 0.516 0.523 0.901
Tc: 0.169 0.170 0.986
Tc: 0.831 0.830 0.014

Results
For the formation energy, the calculation gives 0.93 eV per formula unit. Its energy relative to the lowest polymorph listed for this composition is 0 meV/atom.

11.
Compound: NdVC
Source: the Alexandria database
Functional: GGA-PBE
Structure: relaxed

a b c (Å): 7.064 7.064 4.156
angles (deg): 90.00 90.00 148.83
Sites, in units of the cell vectors:
Nd: 0.165 0.835 0.750
Nd: 0.835 0.165 0.250
V: 0.500 0.500 0.000
V: 0.500 0.500 0.500
C: 0.363 0.637 0.750
C: 0.637 0.363 0.250

Results
For the formation energy, the calculation gives 1.02 eV per formula unit. Its energy relative to the lowest polymorph listed for this composition is 249 meV/atom.

12.
Compound: LaSm3
Source: the Alexandria database
Functional: GGA-PBE
Structure: relaxed

a b c (Å): 5.174 5.174 5.174
angles (deg): 90.00 90.00 90.00
Sites, in units of the cell vectors:
La: 0.000 0.000 0.000
Sm: 0.000 0.500 0.500
Sm: 0.500 0.000 0.500
Sm: 0.500 0.500 0.000

Results
For the formation energy, the calculation gives 0.08 eV per formula unit.

What are the DOS(E_F) values for these records? In order: 6.86; 3.85; 6.82; 2.14; 0.43; 4.01; 6.43; 3.71; 15.62; 2.08; 2.87; 7.29 states/eV/f.u..
What are the VASP energy values for these records? In order: -14.14; -76.42; -66.03; -113.87; -10.46; -55.17; -31.33; -44.76; -36.29; -23.12; -44.17; -19.01 eV per cell.